# Zn4OF5, optimized geometry, DFT PBE
data_Zn4OF5
_chemical_formula_sum 'Zn8 O2 F10'
_symmetry_space_group_name_H-M 'C 1 2/m 1'
_symmetry_Int_Tables_number 12
_symmetry_space_group_name_Hall '-C 2y'
_cell_length_a 13.388
_cell_length_b 3.228
_cell_length_c 6.161
_cell_angle_alpha 90.00
_cell_angle_beta 106.48
_cell_angle_gamma 90.00
loop_
_atom_site_label
_atom_site_type_symbol
_atom_site_fract_x
_atom_site_fract_y
_atom_site_fract_z
_atom_site_occupancy
Zn1 Zn 0.002 0.000 0.253 1
Zn2 Zn 0.171 0.500 0.626 1
O1 O 0.000 0.500 0.500 1
F1 F 0.000 0.500 0.000 1
F2 F 0.166 0.000 0.827 1
F3 F 0.173 0.000 0.375 1
# **Raw formation energy**: -18.3 eV/f.u.
# **Volume**: 12.76 Å³ per atom

=====

# Ca2Pr4Ho5, optimized geometry, DFT PBE
data_Ca2Pr4Ho5
_chemical_formula_sum 'Ca2 Pr4 Ho5'
_symmetry_space_group_name_H-M 'P 1 2/m 1'
_symmetry_Int_Tables_number 10
_symmetry_space_group_name_Hall '-P 2y'
_cell_length_a 9.162
_cell_length_b 3.540
_cell_length_c 11.737
_cell_angle_alpha 90.00
_cell_angle_beta 90.51
_cell_angle_gamma 90.00
loop_
_atom_site_label
_atom_site_type_symbol
_atom_site_fract_x
_atom_site_fract_y
_atom_site_fract_z
_atom_site_occupancy
Ca1 Ca 0.047 0.000 0.138 1
Pr1 Pr 0.216 0.500 0.668 1
Pr2 Pr 0.392 0.500 0.225 1
Ho1 Ho 0.140 0.000 0.414 1
Ho2 Ho 0.339 0.000 0.934 1
Ho3 Ho 0.500 0.000 0.500 1
# **Formation energy from the elements**: 0.11 eV per atom
# **Volume**: 34.61 Å³ per atom

=====

# CoRuCl2, optimized geometry, DFT PBE
data_CoRuCl2
_chemical_formula_sum 'Co2 Ru2 Cl4'
_symmetry_space_group_name_H-M 'C 1 2/m 1'
_symmetry_Int_Tables_number 12
_symmetry_space_group_name_Hall '-C 2y'
_cell_length_a 13.689
_cell_length_b 3.135
_cell_length_c 4.183
_cell_angle_alpha 90.00
_cell_angle_beta 97.11
_cell_angle_gamma 90.00
loop_
_atom_site_label
_atom_site_type_symbol
_atom_site_fract_x
_atom_site_fract_y
_atom_site_fract_z
_atom_site_occupancy
Co1 Co 0.000 0.000 0.000 1
Ru1 Ru 0.000 0.500 0.500 1
Cl1 Cl 0.133 0.500 0.193 1
# **ΔE to the lowest computed polymorph**: 163 meV/atom
# **Raw formation energy**: 0.8 eV/f.u.
# **Volume**: 22.27 Å³ per atom

=====

# AlFeP, optimized geometry, DFT PBE
data_AlFeP
_chemical_formula_sum 'Al4 Fe4 P4'
_symmetry_space_group_name_H-M 'F -4 3 m'
_symmetry_Int_Tables_number 216
_symmetry_space_group_name_Hall 'F -4 2 3'
_cell_length_a 5.506
_cell_length_b 5.506
_cell_length_c 5.506
_cell_angle_alpha 90.00
_cell_angle_beta 90.00
_cell_angle_gamma 90.00
loop_
_atom_site_label
_atom_site_type_symbol
_atom_site_fract_x
_atom_site_fract_y
_atom_site_fract_z
_atom_site_occupancy
Al1 Al 0.000 0.000 0.000 1
Fe1 Fe 0.000 0.000 0.500 1
P1 P 0.250 0.250 0.750 1
# **Formation energy from the elements**: -0.08 eV per atom
# **Volume**: 13.91 Å³ per atom